## LiPm2Ru2 (PBE-GGA)

Data for an optimized crystal structure of LiPm2Ru2.

Calculated values
Total magnetic moment   0.002 Bohr magnetons per cell
Total DFT energy (no corrections)   -121.3 eV per cell

The structure in CIF format:
```
data_LiPm2Ru2
_chemical_formula_sum 'Li4 Pm8 Ru8'
_cell_length_a 9.345
_cell_length_b 5.563
_cell_length_c 8.446
_cell_angle_alpha 90.00
_cell_angle_beta 104.94
_cell_angle_gamma 90.00
_symmetry_space_group_name_H-M 'C 1 2/c 1'
_symmetry_Int_Tables_number 15
loop_
_symmetry_equiv_pos_as_xyz
'x,y,z'
'-x,-y,-z'
'-x,y,-z+1/2'
'x,-y,z+1/2'
'x+1/2,y+1/2,z'
'-x+1/2,-y+1/2,-z'
'-x+1/2,y+1/2,-z+1/2'
'x+1/2,-y+1/2,z+1/2'
loop_
_atom_site_label
_atom_site_fract_x
_atom_site_fract_y
_atom_site_fract_z
Li1 0.000 0.137 0.250
Pm1 0.150 0.351 0.651
Ru1 0.134 0.135 0.006
```

---

## NaYTlPt (PBE-GGA)

Data for an optimized crystal structure of NaYTlPt.

Calculated values
Total magnetic moment   0.000 Bohr magnetons per cell
Total DFT energy (no corrections)   -71.1 eV per cell

The structure in CIF format:
```
data_NaYTlPt
_chemical_formula_sum 'Na4 Y4 Tl4 Pt4'
_cell_length_a 7.136
_cell_length_b 7.136
_cell_length_c 7.136
_cell_angle_alpha 90.00
_cell_angle_beta 90.00
_cell_angle_gamma 90.00
_symmetry_space_group_name_H-M 'F -4 3 m'
_symmetry_Int_Tables_number 216
_symmetry_space_group_name_Hall 'F -4 2 3'
loop_
_atom_site_label
_atom_site_fract_x
_atom_site_fract_y
_atom_site_fract_z
Na1 0.000 0.000 0.000
Y1 0.000 0.000 0.500
Tl1 0.250 0.250 0.250
Pt1 0.250 0.250 0.750
```

---

## Nd6TmTl6 (PBE-GGA)

Data for an optimized crystal structure of Nd6TmTl6.

Calculated values
Total magnetic moment   0.000 Bohr magnetons per cell
Total DFT energy (no corrections)   -97.8 eV per cell

The structure in CIF format:
```
data_Nd6TmTl6
_chemical_formula_sum 'Nd12 Tm2 Tl12'
_cell_length_a 6.957
_cell_length_b 11.360
_cell_length_c 10.400
_cell_angle_alpha 90.00
_cell_angle_beta 90.00
_cell_angle_gamma 90.00
_symmetry_space_group_name_H-M 'C m m m'
_symmetry_Int_Tables_number 65
_symmetry_space_group_name_Hall '-C 2 2'
loop_
_atom_site_label
_atom_site_fract_x
_atom_site_fract_y
_atom_site_fract_z
Nd1 0.000 0.000 0.193
Nd2 0.250 0.250 0.281
Tm1 0.000 0.500 0.500
Tl1 0.000 0.130 0.500
Tl2 0.000 0.256 0.000
Tl3 0.000 0.500 0.196
```

---

## NpGa5 (PBE-GGA)

Data for an optimized crystal structure of NpGa5.

Calculated values
Total magnetic moment   8.091 Bohr magnetons per cell
Relative energy among the computed polymorphs   0.0 kJ/mol of atoms

The structure in CIF format:
```
data_NpGa5
_chemical_formula_sum 'Np2 Ga10'
_cell_length_a 5.222
_cell_length_b 14.676
_cell_length_c 3.012
_cell_angle_alpha 90.00
_cell_angle_beta 90.00
_cell_angle_gamma 90.00
_symmetry_space_group_name_H-M 'C m m m'
_symmetry_Int_Tables_number 65
_symmetry_space_group_name_Hall '-C 2 2'
loop_
_atom_site_label
_atom_site_fract_x
_atom_site_fract_y
_atom_site_fract_z
Np1 0.000 0.000 0.000
Ga1 0.000 0.183 0.500
Ga2 0.000 0.342 0.000
Ga3 0.000 0.500 0.500
```

---

## TaCu2Ag2 (PBE-GGA)

Data for an optimized crystal structure of TaCu2Ag2.

Calculated values
Total magnetic moment   0.000 Bohr magnetons per cell
Relative energy among the computed polymorphs   0.0 kJ/mol of atoms

The structure in CIF format:
```
data_TaCu2Ag2
_chemical_formula_sum 'Ta2 Cu4 Ag4'
_cell_length_a 7.403
_cell_length_b 7.403
_cell_length_c 2.849
_cell_angle_alpha 90.00
_cell_angle_beta 90.00
_cell_angle_gamma 90.00
_symmetry_space_group_name_H-M 'P 4/m b m'
_symmetry_Int_Tables_number 127
_symmetry_space_group_name_Hall '-P 4 2ab'
loop_
_atom_site_label
_atom_site_fract_x
_atom_site_fract_y
_atom_site_fract_z
Ta1 0.000 0.000 0.000
Cu1 0.120 0.380 0.000
Ag1 0.177 0.677 0.500
```

---

## KCdHgI (PBE-GGA)

Data for an optimized crystal structure of KCdHgI.

Calculated values
Uncorrected formation energy   -495 meV/atom
Total magnetic moment   0.000 Bohr magnetons per cell

The structure in CIF format:
```
data_KCdHgI
_chemical_formula_sum 'K4 Cd4 Hg4 I4'
_cell_length_a 8.498
_cell_length_b 8.498
_cell_length_c 8.498
_cell_angle_alpha 90.00
_cell_angle_beta 90.00
_cell_angle_gamma 90.00
_symmetry_space_group_name_H-M 'F -4 3 m'
_symmetry_Int_Tables_number 216
_symmetry_space_group_name_Hall 'F -4 2 3'
loop_
_atom_site_label
_atom_site_fract_x
_atom_site_fract_y
_atom_site_fract_z
K1 0.000 0.000 0.000
Cd1 0.250 0.250 0.250
Hg1 0.000 0.000 0.500
I1 0.250 0.250 0.750
```

---

## Sr6Si2O (PBE-GGA)

Data for an optimized crystal structure of Sr6Si2O.

Calculated values
Uncorrected formation energy   -799 meV/atom
Total magnetic moment   0.000 Bohr magnetons per cell

The structure in CIF format:
```
data_Sr6Si2O
_chemical_formula_sum 'Sr12 Si4 O2'
_cell_length_a 7.202
_cell_length_b 7.731
_cell_length_c 12.586
_cell_angle_alpha 90.00
_cell_angle_beta 124.67
_cell_angle_gamma 90.00
_symmetry_space_group_name_H-M 'P 1 21/c 1'
_symmetry_Int_Tables_number 14
loop_
_symmetry_equiv_pos_as_xyz
'x,y,z'
'-x,-y,-z'
'-x,y+1/2,-z+1/2'
'x,-y+1/2,z+1/2'
loop_
_atom_site_label
_atom_site_fract_x
_atom_site_fract_y
_atom_site_fract_z
Sr1 0.145 0.028 0.242
Sr2 0.235 0.701 0.051
Sr3 0.347 0.183 0.051
Si1 0.273 0.075 0.751
O1 0.000 0.000 0.000
```

---

## Cu5BiS6 (PBE-GGA)

Data for an optimized crystal structure of Cu5BiS6.

Calculated values
Uncorrected formation energy   -120 meV/atom
Total magnetic moment   0.000 Bohr magnetons per cell

The structure in CIF format:
```
data_Cu5BiS6
_chemical_formula_sum 'Cu10 Bi2 S12'
_cell_length_a 7.079
_cell_length_b 10.330
_cell_length_c 6.554
_cell_angle_alpha 90.00
_cell_angle_beta 114.97
_cell_angle_gamma 90.00
_symmetry_space_group_name_H-M 'C 1 2/m 1'
_symmetry_Int_Tables_number 12
loop_
_symmetry_equiv_pos_as_xyz
'x,y,z'
'-x,-y,-z'
'-x,y,-z'
'x,-y,z'
'x+1/2,y+1/2,z'
'-x+1/2,-y+1/2,-z'
'-x+1/2,y+1/2,-z'
'x+1/2,-y+1/2,z'
loop_
_atom_site_label
_atom_site_fract_x
_atom_site_fract_y
_atom_site_fract_z
Cu1 0.000 0.000 0.000
Cu2 0.000 0.135 0.500
Cu3 0.000 0.331 0.000
Bi1 0.000 0.500 0.500
S1 0.149 0.163 0.256
S2 0.198 0.500 0.213
```

---

## Hf3SiI (PBE-GGA)

Data for an optimized crystal structure of Hf3SiI.

Calculated values
Uncorrected formation energy   551 meV/atom
Total magnetic moment   0.000 Bohr magnetons per cell
Relative energy among the computed polymorphs   0.0 kJ/mol of atoms

The structure in CIF format:
```
data_Hf3SiI
_chemical_formula_sum 'Hf3 Si1 I1'
_cell_length_a 4.993
_cell_length_b 4.993
_cell_length_c 4.993
_cell_angle_alpha 90.00
_cell_angle_beta 90.00
_cell_angle_gamma 90.00
_symmetry_space_group_name_H-M 'P m -3 m'
_symmetry_Int_Tables_number 221
_symmetry_space_group_name_Hall '-P 4 2 3'
loop_
_atom_site_label
_atom_site_fract_x
_atom_site_fract_y
_atom_site_fract_z
Hf1 0.000 0.000 0.500
Si1 0.000 0.000 0.000
I1 0.500 0.500 0.500
```

---

## CaTmBiPb (PBE-GGA)

Data for an optimized crystal structure of CaTmBiPb.

Calculated values
Total magnetic moment   0.000 Bohr magnetons per cell
Total DFT energy (no corrections)   -63.6 eV per cell

The structure in CIF format:
```
data_CaTmBiPb
_chemical_formula_sum 'Ca4 Tm4 Bi4 Pb4'
_cell_length_a 7.806
_cell_length_b 7.806
_cell_length_c 7.806
_cell_angle_alpha 90.00
_cell_angle_beta 90.00
_cell_angle_gamma 90.00
_symmetry_space_group_name_H-M 'F -4 3 m'
_symmetry_Int_Tables_number 216
_symmetry_space_group_name_Hall 'F -4 2 3'
loop_
_atom_site_label
_atom_site_fract_x
_atom_site_fract_y
_atom_site_fract_z
Ca1 0.000 0.000 0.000
Tm1 0.000 0.000 0.500
Bi1 0.250 0.250 0.750
Pb1 0.250 0.250 0.250
```